# PBE-GGA SrCoMo4, relaxed
# SG ... No. 216
# DFT total energy ... -7.85 eV/atom
data_SrCoMo4
_chemical_formula_sum 'Sr1 Co1 Mo4'
_space_group_name_H-M_alt 'P 1'
_space_group_IT_number 1
_cell_length_a 5.396
_cell_length_b 5.396
_cell_length_c 5.396
_cell_angle_alpha 60.00
_cell_angle_beta 60.00
_cell_angle_gamma 60.00
loop_
_space_group_symop_operation_xyz
'x,y,z'
loop_
_atom_site_label
_atom_site_type_symbol
_atom_site_fract_x
_atom_site_fract_y
_atom_site_fract_z
_atom_site_occupancy
Sr1 Sr 0.750 0.750 0.750 1
Mo1 Mo 0.375 0.375 0.876 1
Mo2 Mo 0.876 0.375 0.375 1
Co1 Co 0.000 0.000 0.000 1
Mo3 Mo 0.375 0.876 0.375 1
Mo4 Mo 0.375 0.375 0.375 1

---

# PBE-GGA SrCoMo2, relaxed
# SG ... No. 99
# DFT total energy ... -7.04 eV/atom
# Energy above the most stable polymorph in this dataset ... 0 meV/atom
data_SrCoMo2
_chemical_formula_sum 'Sr1 Co1 Mo2'
_space_group_name_H-M_alt 'P 1'
_space_group_IT_number 1
_cell_length_a 3.232
_cell_length_b 3.232
_cell_length_c 7.506
_cell_angle_alpha 90.00
_cell_angle_beta 90.00
_cell_angle_gamma 90.00
loop_
_space_group_symop_operation_xyz
'x,y,z'
loop_
_atom_site_label
_atom_site_type_symbol
_atom_site_fract_x
_atom_site_fract_y
_atom_site_fract_z
_atom_site_occupancy
Co1 Co 0.500 0.500 0.823 1
Sr1 Sr 0.000 0.000 0.514 1
Mo1 Mo 0.000 0.000 0.993 1
Mo2 Mo 0.500 0.500 0.171 1

---

# PBE-GGA SrCoMo2, relaxed
# SG ... No. 225
# DFT total energy ... -6.34 eV/atom
# Energy above the most stable polymorph in this dataset ... 707 meV/atom
data_SrCoMo2
_chemical_formula_sum 'Sr1 Co1 Mo2'
_space_group_name_H-M_alt 'P 1'
_space_group_IT_number 1
_cell_length_a 4.562
_cell_length_b 4.562
_cell_length_c 4.562
_cell_angle_alpha 60.00
_cell_angle_beta 60.00
_cell_angle_gamma 60.00
loop_
_space_group_symop_operation_xyz
'x,y,z'
loop_
_atom_site_label
_atom_site_type_symbol
_atom_site_fract_x
_atom_site_fract_y
_atom_site_fract_z
_atom_site_occupancy
Sr1 Sr 0.500 0.500 0.500 1
Co1 Co 0.000 0.000 0.000 1
Mo1 Mo 0.250 0.250 0.250 1
Mo2 Mo 0.750 0.750 0.750 1

---

# PBE-GGA SrCoMo2, relaxed
# SG ... No. 123
# DFT total energy ... -6.91 eV/atom
# Energy above the most stable polymorph in this dataset ... 138 meV/atom
data_SrCoMo2
_chemical_formula_sum 'Sr1 Co1 Mo2'
_space_group_name_H-M_alt 'P 1'
_space_group_IT_number 1
_cell_length_a 3.299
_cell_length_b 3.299
_cell_length_c 7.423
_cell_angle_alpha 90.00
_cell_angle_beta 90.00
_cell_angle_gamma 90.00
loop_
_space_group_symop_operation_xyz
'x,y,z'
loop_
_atom_site_label
_atom_site_type_symbol
_atom_site_fract_x
_atom_site_fract_y
_atom_site_fract_z
_atom_site_occupancy
Mo1 Mo 0.000 0.000 0.597 1
Sr1 Sr 0.500 0.500 0.250 1
Mo2 Mo 0.000 0.000 0.903 1
Co1 Co 0.500 0.500 0.750 1

---

# PBE-GGA SrCoMo2, relaxed
# SG ... No. 10
# DFT total energy ... -6.80 eV/atom
# Energy above the most stable polymorph in this dataset ... 245 meV/atom
data_SrCoMo2
_chemical_formula_sum 'Sr1 Co1 Mo2'
_space_group_name_H-M_alt 'P 1'
_space_group_IT_number 1
_cell_length_a 4.418
_cell_length_b 3.257
_cell_length_c 6.262
_cell_angle_alpha 76.14
_cell_angle_beta 90.00
_cell_angle_gamma 90.00
loop_
_space_group_symop_operation_xyz
'x,y,z'
loop_
_atom_site_label
_atom_site_type_symbol
_atom_site_fract_x
_atom_site_fract_y
_atom_site_fract_z
_atom_site_occupancy
Sr1 Sr 0.500 0.250 0.250 1
Co1 Co 0.500 0.750 0.750 1
Mo1 Mo 0.000 0.944 0.895 1
Mo2 Mo 0.000 0.556 0.605 1

---

# PBE-GGA SrCoMo3, relaxed
# SG ... No. 221
# DFT total energy ... -7.06 eV/atom
# Energy above the most stable polymorph in this dataset ... 0 meV/atom
data_SrCoMo3
_chemical_formula_sum 'Sr1 Co1 Mo3'
_space_group_name_H-M_alt 'P 1'
_space_group_IT_number 1
_cell_length_a 4.660
_cell_length_b 4.660
_cell_length_c 4.660
_cell_angle_alpha 90.00
_cell_angle_beta 90.00
_cell_angle_gamma 90.00
loop_
_space_group_symop_operation_xyz
'x,y,z'
loop_
_atom_site_label
_atom_site_type_symbol
_atom_site_fract_x
_atom_site_fract_y
_atom_site_fract_z
_atom_site_occupancy
Co1 Co 0.000 0.000 0.000 1
Mo1 Mo 0.500 0.000 0.000 1
Mo2 Mo 0.000 0.000 0.500 1
Mo3 Mo 0.000 0.500 0.000 1
Sr1 Sr 0.500 0.500 0.500 1

---

# PBE-GGA SrCoMo2, relaxed
# SG ... No. 6
# DFT total energy ... -6.96 eV/atom
# Energy above the most stable polymorph in this dataset ... 88 meV/atom
data_SrCoMo2
_chemical_formula_sum 'Sr1 Co1 Mo2'
_space_group_name_H-M_alt 'P 1'
_space_group_IT_number 1
_cell_length_a 3.989
_cell_length_b 2.923
_cell_length_c 7.026
_cell_angle_alpha 77.40
_cell_angle_beta 90.00
_cell_angle_gamma 90.00
loop_
_space_group_symop_operation_xyz
'x,y,z'
loop_
_atom_site_label
_atom_site_type_symbol
_atom_site_fract_x
_atom_site_fract_y
_atom_site_fract_z
_atom_site_occupancy
Sr1 Sr 0.000 0.481 0.512 1
Mo1 Mo 0.000 0.044 0.986 1
Co1 Co 0.500 0.732 0.835 1
Mo2 Mo 0.500 0.243 0.168 1

---

# PBE-GGA SrCoMo2, relaxed
# SG ... No. 12
# DFT total energy ... -6.60 eV/atom
# Energy above the most stable polymorph in this dataset ... 439 meV/atom
data_SrCoMo2
_chemical_formula_sum 'Sr1 Co1 Mo2'
_space_group_name_H-M_alt 'P 1'
_space_group_IT_number 1
_cell_length_a 5.285
_cell_length_b 5.784
_cell_length_c 2.721
_cell_angle_alpha 82.46
_cell_angle_beta 76.84
_cell_angle_gamma 113.79
loop_
_space_group_symop_operation_xyz
'x,y,z'
loop_
_atom_site_label
_atom_site_type_symbol
_atom_site_fract_x
_atom_site_fract_y
_atom_site_fract_z
_atom_site_occupancy
Sr1 Sr 0.000 0.500 0.500 1
Mo1 Mo 0.500 0.000 0.500 1
Mo2 Mo 0.000 0.000 0.000 1
Co1 Co 0.500 0.500 0.000 1

---

Across the entries above, formation energy from the elements takes the values 0.83, 0.57, 1.28, 0.71, 0.81, 1.20, 0.66, 1.01 eV per atom, respectively.
Across the entries above, size of the total moment takes the values 0.276, 0.373, 0.000, 0.368, 0.340, 0.395, 0.305, 0.355 μB per atom, respectively.